# AlPO4, relaxed, DFT PBEsol
# Formation energy (no corrections) in eV/atom: -2.64
# Spin magnetization in Bohr magnetons per cell: 0.0
# DOS(E_F) in states/eV per atom: 0.00
# Calculated volume in Å³ per cell: 2628
data_AlPO4
_symmetry_space_group_name_H-M 'F -4 3 m'
_symmetry_Int_Tables_number 216
_symmetry_space_group_name_Hall 'F -4 2 3'
_cell_length_a 13.799
_cell_length_b 13.799
_cell_length_c 13.799
_cell_angle_alpha 90.00
_cell_angle_beta 90.00
_cell_angle_gamma 90.00
loop_
_atom_site_label
_atom_site_type_symbol
_atom_site_fract_x
_atom_site_fract_y
_atom_site_fract_z
_atom_site_occupancy
Al1 Al 0.000 0.000 0.000 1
Al2 Al 0.136 0.136 0.636 1
P1 P 0.000 0.000 0.500 1
P2 P 0.135 0.135 0.865 1
O1 O 0.064 0.064 0.564 1
O2 O 0.072 0.072 0.928 1
O3 O 0.113 0.113 0.758 1



# AlPO4, relaxed, DFT PBEsol
# Formation energy (no corrections) in eV/atom: -2.64
# Spin magnetization in Bohr magnetons per cell: 0.0
# DOS(E_F) in states/eV per atom: 0.00
# Calculated volume in Å³ per cell: 212
data_AlPO4
_symmetry_space_group_name_H-M 'P 63 m c'
_symmetry_Int_Tables_number 186
_symmetry_space_group_name_Hall 'P 6c -2c'
_cell_length_a 5.3136
_cell_length_b 5.3136
_cell_length_c 8.6702
_cell_angle_alpha 90.00
_cell_angle_beta 90.00
_cell_angle_gamma 120.00
loop_
_atom_site_label
_atom_site_type_symbol
_atom_site_fract_x
_atom_site_fract_y
_atom_site_fract_z
_atom_site_occupancy
Al1 Al 0.3333 0.6667 0.0000 1
P1 P 0.3333 0.6667 0.6248 1
O1 O 0.0210 0.5105 0.5663 1
O2 O 0.3333 0.6667 0.8006 1



# AlPO4, relaxed, DFT PBEsol
# Formation energy (no corrections) in eV/atom: -2.64
# Spin magnetization in Bohr magnetons per cell: 0.0
# DOS(E_F) in states/eV per atom: 0.00
# Calculated volume in Å³ per cell: 3561
data_AlPO4
_symmetry_space_group_name_H-M 'I b a 2'
_symmetry_Int_Tables_number 45
_symmetry_space_group_name_Hall 'I 2 -2c'
_cell_length_a 14.940
_cell_length_b 28.036
_cell_length_c 8.503
_cell_angle_alpha 90.00
_cell_angle_beta 90.00
_cell_angle_gamma 90.00
loop_
_atom_site_label
_atom_site_type_symbol
_atom_site_fract_x
_atom_site_fract_y
_atom_site_fract_z
_atom_site_occupancy
Al1 Al 0.094 0.223 0.000 1
Al2 Al 0.097 0.055 0.996 1
Al3 Al 0.101 0.327 0.498 1
Al4 Al 0.219 0.140 0.499 1
P1 P 0.096 0.222 0.372 1
P2 P 0.098 0.329 0.872 1
P3 P 0.101 0.054 0.379 1
P4 P 0.217 0.141 0.870 1
O1 O 0.004 0.343 0.926 1
O2 O 0.008 0.201 0.432 1
O3 O 0.011 0.073 0.439 1
O4 O 0.087 0.237 0.199 1
O5 O 0.103 0.057 0.199 1
O6 O 0.108 0.340 0.697 1
O7 O 0.117 0.002 0.429 1
O8 O 0.117 0.276 0.899 1
O9 O 0.121 0.266 0.470 1
O10 O 0.166 0.359 0.964 1
O11 O 0.171 0.185 0.386 1
O12 O 0.176 0.092 0.914 1
O13 O 0.176 0.180 0.972 1
O14 O 0.177 0.085 0.447 1
O15 O 0.182 0.361 0.399 1
O16 O 0.198 0.151 0.697 1



# AlPO4, relaxed, DFT PBEsol
# Formation energy (no corrections) in eV/atom: -2.65
# Spin magnetization in Bohr magnetons per cell: 0.0
# DOS(E_F) in states/eV per atom: 0.00
# Calculated volume in Å³ per cell: 190
data_AlPO4
_symmetry_space_group_name_H-M 'I -4'
_symmetry_Int_Tables_number 82
_symmetry_space_group_name_Hall 'I -4'
_cell_length_a 5.063
_cell_length_b 5.063
_cell_length_c 7.423
_cell_angle_alpha 90.00
_cell_angle_beta 90.00
_cell_angle_gamma 90.00
loop_
_atom_site_label
_atom_site_type_symbol
_atom_site_fract_x
_atom_site_fract_y
_atom_site_fract_z
_atom_site_occupancy
Al1 Al 0.000 0.000 0.000 1
P1 P 0.000 0.500 0.250 1
O1 O 0.092 0.269 0.132 1



# AlPO4, relaxed, DFT PBEsol
# Formation energy (no corrections) in eV/atom: -2.64
# Spin magnetization in Bohr magnetons per cell: 0.0
# DOS(E_F) in states/eV per atom: 0.00
# Calculated volume in Å³ per cell: 1921
data_AlPO4
_symmetry_space_group_name_H-M 'R -3'
_symmetry_Int_Tables_number 148
_symmetry_space_group_name_Hall '-R 3'
_cell_length_a 20.9792
_cell_length_b 20.9792
_cell_length_c 5.0405
_cell_angle_alpha 90.00
_cell_angle_beta 90.00
_cell_angle_gamma 120.00
loop_
_atom_site_label
_atom_site_type_symbol
_atom_site_fract_x
_atom_site_fract_y
_atom_site_fract_z
_atom_site_occupancy
Al1 Al 0.0493 0.8014 0.3032 1
P1 P 0.0505 0.2457 0.2119 1
O1 O 0.0093 0.4244 0.9864 1
O2 O 0.0113 0.8080 0.6033 1
O3 O 0.0201 0.2411 0.9325 1
O4 O 0.1084 0.5525 0.8640 1



# AlPO4, relaxed, DFT PBEsol
# Formation energy (no corrections) in eV/atom: -2.64
# Spin magnetization in Bohr magnetons per cell: 0.0
# DOS(E_F) in states/eV per atom: 0.00
# Calculated volume in Å³ per cell: 1197
data_AlPO4
_symmetry_space_group_name_H-M 'C 1 2 1'
_symmetry_Int_Tables_number 5
_symmetry_space_group_name_Hall 'C 2y'
_cell_length_a 16.884
_cell_length_b 5.170
_cell_length_c 13.715
_cell_angle_alpha 90.00
_cell_angle_beta 91.13
_cell_angle_gamma 90.00
loop_
_atom_site_label
_atom_site_type_symbol
_atom_site_fract_x
_atom_site_fract_y
_atom_site_fract_z
_atom_site_occupancy
Al1 Al 0.049 0.000 0.233 1
Al2 Al 0.150 0.402 0.540 1
Al3 Al 0.168 0.511 0.917 1
P1 P 0.054 0.500 0.734 1
P2 P 0.148 0.011 0.042 1
P3 P 0.165 0.902 0.416 1
O1 O 0.013 0.314 0.242 1
O2 O 0.026 0.779 0.743 1
O3 O 0.080 0.455 0.629 1
O4 O 0.084 0.952 0.116 1
O5 O 0.125 0.455 0.803 1
O6 O 0.128 0.961 0.316 1
O7 O 0.134 0.094 0.492 1
O8 O 0.135 0.286 0.003 1
O9 O 0.141 0.628 0.446 1
O10 O 0.141 0.819 0.957 1
O11 O 0.230 0.987 0.092 1
O12 O 0.245 0.424 0.592 1



# AlPO4, relaxed, DFT PBEsol
# Formation energy (no corrections) in eV/atom: -2.64
# Spin magnetization in Bohr magnetons per cell: 0.0
# DOS(E_F) in states/eV per atom: 0.00
# Calculated volume in Å³ per cell: 1312
data_AlPO4
_symmetry_space_group_name_H-M 'A e m 2'
_symmetry_Int_Tables_number 39
_symmetry_space_group_name_Hall 'A 2 -2b'
_cell_length_a 9.771
_cell_length_b 15.486
_cell_length_c 8.672
_cell_angle_alpha 90.00
_cell_angle_beta 90.00
_cell_angle_gamma 90.00
loop_
_atom_site_label
_atom_site_type_symbol
_atom_site_fract_x
_atom_site_fract_y
_atom_site_fract_z
_atom_site_occupancy
Al1 Al 0.147 0.097 0.000 1
Al2 Al 0.346 0.250 0.498 1
P1 P 0.154 0.097 0.375 1
P2 P 0.340 0.250 0.873 1
O1 O 0.016 0.128 0.439 1
O2 O 0.149 0.097 0.199 1
O3 O 0.186 0.006 0.433 1
O4 O 0.267 0.157 0.429 1
O5 O 0.267 0.169 0.931 1
O6 O 0.342 0.250 0.698 1
O7 O 0.486 0.250 0.935 1



# AlPPdO2, relaxed, DFT PBEsol
# Formation energy (no corrections) in eV/atom: -0.79
# Spin magnetization in Bohr magnetons per cell: 0.5
# DOS(E_F) in states/eV per atom: 0.70
# Calculated volume in Å³ per cell: 74
data_AlPPdO2
_symmetry_space_group_name_H-M 'P 4/m m m'
_symmetry_Int_Tables_number 123
_symmetry_space_group_name_Hall '-P 4 2'
_cell_length_a 3.444
_cell_length_b 3.444
_cell_length_c 6.275
_cell_angle_alpha 90.00
_cell_angle_beta 90.00
_cell_angle_gamma 90.00
loop_
_atom_site_label
_atom_site_type_symbol
_atom_site_fract_x
_atom_site_fract_y
_atom_site_fract_z
_atom_site_occupancy
Al1 Al 0.000 0.000 0.000 1
P1 P 0.000 0.000 0.500 1
Pd1 Pd 0.500 0.500 0.500 1
O1 O 0.000 0.500 0.000 1



# Rb3Al2P3O12, relaxed, DFT PBEsol
# Formation energy (no corrections) in eV/atom: -2.52
# Spin magnetization in Bohr magnetons per cell: 0.3
# DOS(E_F) in states/eV per atom: 0.00
# Calculated volume in Å³ per cell: 1315
data_Rb3Al2P3O12
_symmetry_space_group_name_H-M 'C m c 21'
_symmetry_Int_Tables_number 36
_symmetry_space_group_name_Hall 'C 2c -2'
_cell_length_a 17.149
_cell_length_b 8.585
_cell_length_c 8.931
_cell_angle_alpha 90.00
_cell_angle_beta 90.00
_cell_angle_gamma 90.00
loop_
_atom_site_label
_atom_site_type_symbol
_atom_site_fract_x
_atom_site_fract_y
_atom_site_fract_z
_atom_site_occupancy
Rb1 Rb 0.000 0.140 0.000 1
Rb2 Rb 0.114 0.447 0.684 1
Al1 Al 0.168 0.156 0.338 1
P1 P 0.000 0.273 0.399 1
P2 P 0.205 0.169 0.001 1
O1 O 0.000 0.198 0.553 1
O2 O 0.000 0.449 0.399 1
O3 O 0.071 0.211 0.301 1
O4 O 0.153 0.307 0.975 1
O5 O 0.168 0.020 0.933 1
O6 O 0.211 0.311 0.436 1
O7 O 0.219 0.132 0.170 1



# AlSbPO2, relaxed, DFT PBEsol
# Formation energy (no corrections) in eV/atom: -0.48
# Spin magnetization in Bohr magnetons per cell: 0.0
# DOS(E_F) in states/eV per atom: 0.16
# Calculated volume in Å³ per cell: 79
data_AlSbPO2
_symmetry_space_group_name_H-M 'P 4/m m m'
_symmetry_Int_Tables_number 123
_symmetry_space_group_name_Hall '-P 4 2'
_cell_length_a 3.896
_cell_length_b 3.896
_cell_length_c 5.208
_cell_angle_alpha 90.00
_cell_angle_beta 90.00
_cell_angle_gamma 90.00
loop_
_atom_site_label
_atom_site_type_symbol
_atom_site_fract_x
_atom_site_fract_y
_atom_site_fract_z
_atom_site_occupancy
Al1 Al 0.000 0.000 0.000 1
Sb1 Sb 0.500 0.500 0.500 1
P1 P 0.500 0.500 0.000 1
O1 O 0.000 0.500 0.500 1



# AlP2SeO, relaxed, DFT PBEsol
# Formation energy (no corrections) in eV/atom: -0.17
# Spin magnetization in Bohr magnetons per cell: 0.0
# DOS(E_F) in states/eV per atom: 0.68
# Calculated volume in Å³ per cell: 79
data_AlP2SeO
_symmetry_space_group_name_H-M 'P 4/m m m'
_symmetry_Int_Tables_number 123
_symmetry_space_group_name_Hall '-P 4 2'
_cell_length_a 4.822
_cell_length_b 4.822
_cell_length_c 3.414
_cell_angle_alpha 90.00
_cell_angle_beta 90.00
_cell_angle_gamma 90.00
loop_
_atom_site_label
_atom_site_type_symbol
_atom_site_fract_x
_atom_site_fract_y
_atom_site_fract_z
_atom_site_occupancy
Al1 Al 0.000 0.000 0.000 1
P1 P 0.000 0.500 0.000 1
Se1 Se 0.500 0.500 0.500 1
O1 O 0.000 0.000 0.500 1



# AlSnP2O, relaxed, DFT PBEsol
# Formation energy (no corrections) in eV/atom: 0.41
# Offset from the most stable computed form in kJ/mol of formula units: 370
# Spin magnetization in Bohr magnetons per cell: 0.0
# DOS(E_F) in states/eV per atom: 0.64
# Calculated volume in Å³ per cell: 99
data_AlSnP2O
_symmetry_space_group_name_H-M 'P 4/m m m'
_symmetry_Int_Tables_number 123
_symmetry_space_group_name_Hall '-P 4 2'
_cell_length_a 5.057
_cell_length_b 5.057
_cell_length_c 3.857
_cell_angle_alpha 90.00
_cell_angle_beta 90.00
_cell_angle_gamma 90.00
loop_
_atom_site_label
_atom_site_type_symbol
_atom_site_fract_x
_atom_site_fract_y
_atom_site_fract_z
_atom_site_occupancy
Al1 Al 0.000 0.000 0.000 1
Sn1 Sn 0.500 0.500 0.500 1
P1 P 0.000 0.500 0.500 1
O1 O 0.500 0.500 0.000 1